1.
DFT (PBE) results for an optimized crystal structure of SrSn2Au.

Cell lengths 7.512, 7.512, 7.512 Å; angles 90.00, 90.00, 90.00 degrees
Space group Fm-3m (No. 225)
Inequivalent atoms, fractional coordinates:
Sr 0.000 0.000 0.000 (multiplicity 4)
Sn 0.250 0.250 0.250 (multiplicity 8)
Au 0.000 0.000 0.500 (multiplicity 4)

=====

2.
DFT (PBE) results for an optimized crystal structure of KRbGa2Ge.

Cell lengths 5.281, 5.281, 6.197 Å; angles 90.00, 90.00, 90.00 degrees
Space group P4/mmm (No. 123)
Inequivalent atoms, fractional coordinates:
K 0.000 0.000 0.000 (multiplicity 1)
Rb 0.500 0.500 0.000 (multiplicity 1)
Ga 0.000 0.500 0.500 (multiplicity 2)
Ge 0.000 0.000 0.500 (multiplicity 1)

=====

3.
DFT (PBE) results for an optimized crystal structure of BeNb2PtW.

Cell lengths 4.869, 4.869, 4.790 Å; angles 90.00, 90.00, 90.00 degrees
Space group P4/mmm (No. 123)
Inequivalent atoms, fractional coordinates:
Be 0.000 0.000 0.000 (multiplicity 1)
Nb 0.000 0.500 0.500 (multiplicity 2)
Pt 0.500 0.500 0.500 (multiplicity 1)
W 0.500 0.500 0.000 (multiplicity 1)

=====

| no. | energy relative to the elements (eV per formula unit) | calculated total energy (eV per atom) |
| --- | --- | --- |
| 1 | -1.0 | -3.49 |
| 2 | 0.8 | -2.38 |
| 3 | 8.5 | -6.87 |